A plane-wave DFT calculation with PBE was carried out for a relaxed structure of Ti3MnHg.

Unit cell a=4.9147 b=4.9147 c=4.9147 alpha=90.00 beta=90.00 gamma=90.00
Element x y z (fractional)
Mn (0.5000, 0.5000, 0.5000)
Hg (0.0000, 0.0000, 0.0000)
Ti (0.0000, 0.5000, 0.0000)
Ti (0.0000, 0.0000, 0.5000)
Ti (0.5000, 0.0000, 0.0000)

The total moment comes out at 0.104 μB per atom. The value obtained for the energy of formation from the pure elements is 1.76 eV per atom. As for the symmetry: Pm-3m. The relative energy among the computed polymorphs comes out at 1467.3 meV per atom.